The following is a GGA-PBEsol calculation of crystalline Rb2Cr2CdH4O10 at its relaxed geometry, from Alexandria.

Values from the calculation:
Total moment: 0.0000 μB per atom
Calculated total energy: -6.2885 eV per atom

Cell and atoms, written as CIF:
```
data_Rb2Cr2CdH4O10
_chemical_formula_sum 'Rb4 Cr4 Cd2 H8 O20'
_cell_length_a 6.714
_cell_length_b 7.714
_cell_length_c 11.450
_cell_angle_alpha 72.47
_cell_angle_beta 75.51
_cell_angle_gamma 67.90
_space_group_name_H-M_alt 'P 1'
_space_group_IT_number 1
loop_
_space_group_symop_operation_xyz
'x,y,z'
loop_
_atom_site_label
_atom_site_type_symbol
_atom_site_fract_x
_atom_site_fract_y
_atom_site_fract_z
Rb1 Rb 0.189 0.247 0.100
Rb2 Rb 0.270 0.733 0.421
Rb3 Rb 0.730 0.267 0.579
Rb4 Rb 0.811 0.753 0.900
Cr1 Cr 0.261 0.226 0.416
Cr2 Cr 0.276 0.768 0.076
Cr3 Cr 0.724 0.232 0.924
Cr4 Cr 0.739 0.774 0.584
Cd1 Cd 0.250 0.030 0.754
Cd2 Cd 0.750 0.970 0.246
H1 H 0.155 0.434 0.700
H2 H 0.335 0.615 0.832
H3 H 0.344 0.342 0.790
H4 H 0.365 0.700 0.689
H5 H 0.635 0.300 0.311
H6 H 0.656 0.658 0.210
H7 H 0.665 0.385 0.168
H8 H 0.845 0.566 0.300
O1 O 0.041 0.388 0.365
O2 O 0.115 0.878 0.187
O3 O 0.159 0.643 0.043
O4 O 0.189 0.099 0.555
O5 O 0.259 0.723 0.767
O6 O 0.285 0.320 0.726
O7 O 0.324 0.934 0.951
O8 O 0.383 0.083 0.319
O9 O 0.429 0.331 0.423
O10 O 0.488 0.371 0.877
O11 O 0.512 0.629 0.123
O12 O 0.571 0.669 0.577
O13 O 0.617 0.917 0.681
O14 O 0.676 0.066 0.049
O15 O 0.715 0.680 0.274
O16 O 0.741 0.277 0.233
O17 O 0.811 0.901 0.445
O18 O 0.841 0.357 0.957
O19 O 0.885 0.122 0.813
O20 O 0.959 0.612 0.635
```

The following is a GGA-PBEsol calculation of crystalline Li2Br at its relaxed geometry, from Alexandria.

Values from the calculation:
Total moment: 0.0000 μB per atom
Calculated total energy: -2.7757 eV per atom
Formation energy (no corrections): -0.841 eV per atom

Cell and atoms, written as CIF:
```
data_Li2Br
_chemical_formula_sum 'Li4 Br2'
_cell_length_a 6.752
_cell_length_b 6.752
_cell_length_c 6.226
_cell_angle_alpha 115.39
_cell_angle_beta 115.39
_cell_angle_gamma 31.12
_space_group_name_H-M_alt 'P 1'
_space_group_IT_number 1
loop_
_space_group_symop_operation_xyz
'x,y,z'
loop_
_atom_site_label
_atom_site_type_symbol
_atom_site_fract_x
_atom_site_fract_y
_atom_site_fract_z
Li1 Li 0.000 0.000 0.000
Li2 Li 0.013 0.013 0.481
Li3 Li 0.293 0.293 0.201
Li4 Li 0.748 0.748 0.776
Br1 Br 0.429 0.429 0.654
Br2 Br 0.616 0.616 0.331
```